Record 1
A relaxed structure of Ac3SmPb2C, computed with PBE-GGA.

a = 9.5548 Å, b = 9.5548 Å, c = 9.5548 Å
α = 148.93°, β = 147.85°, γ = 45.31°
Sites, in units of the cell vectors:
Ac (0.0000, 0.0000, 0.0000)
Ac (0.3373, 0.8373, 0.5000)
Ac (0.6627, 0.1627, 0.5000)
Sm (0.5000, 0.5000, 0.0000)
Pb (0.1377, 0.6377, 0.5000)
Pb (0.8623, 0.3623, 0.5000)
C (0.5000, 0.0000, 0.5000)

Calculated values
**Uncorrected energy**: -5.2072 eV/atom
**Symmetry**: Immm (71)

***

Record 2
A relaxed structure of Li2CoNi, computed with PBE-GGA.

a = 4.0342 Å, b = 4.0342 Å, c = 4.0342 Å
α = 60.00°, β = 60.00°, γ = 60.00°
Sites, in units of the cell vectors:
Li (0.0000, 0.0000, 0.0000)
Li (0.2500, 0.2500, 0.2500)
Co (0.5000, 0.5000, 0.5000)
Ni (0.7500, 0.7500, 0.7500)

Calculated values
**Energy relative to the lowest polymorph listed for this composition**: 10.61 kJ per mole of atoms
**Symmetry**: F-43m (216)